Density functional theory data (GGA-PBE) for a relaxed structure of K2LiPa3S8.

The space group is R3m (No. 160, hexagonal axes) and the conventional cell measures 8.0897, 8.0897 and 23.4375 Å, with angles of 90.00, 90.00 and 120.00 degrees. The distinct sites, in fractional coordinates, are K at (0.0000, 0.0000, 0.0000), K at (0.0000, 0.0000, 0.3583), Li at (0.0000, 0.0000, 0.8370), Pa at (0.1677, 0.3354, 0.1918), S at (0.0000, 0.0000, 0.1313), S at (0.0000, 0.0000, 0.5863), S at (0.0170, 0.5085, 0.1305) and S at (0.1762, 0.3524, 0.9191).

As for the energy: -261.79 eV for the cell shown. The value obtained for the total magnetization is 2.03 μB per formula unit. The calculation puts the density at 3.881 g/cm3. For the uncorrected formation energy, the calculation gives -1546 meV per atom.